Material: BaFe2As2
Method: DFT, PBE-GGA
State: relaxed

Cell and atoms, written as CIF:
```
data_BaFe2As2
_cell_length_a 3.9705
_cell_length_b 3.9705
_cell_length_c 12.6129
_cell_angle_alpha 90.00
_cell_angle_beta 90.00
_cell_angle_gamma 90.00
_symmetry_space_group_name_H-M 'I 4/m m m'
_symmetry_Int_Tables_number 139
_symmetry_space_group_name_Hall '-I 4 2'
loop_
_atom_site_label
_atom_site_fract_x
_atom_site_fract_y
_atom_site_fract_z
Ba1 0.0000 0.0000 0.0000
Fe1 0.0000 0.5000 0.2500
As1 0.0000 0.0000 0.3454
```

energy relative to the elements = -0.54 eV/atom

Material: Ba3FeAs
Method: DFT, PBE-GGA
State: relaxed

Cell and atoms, written as CIF:
```
data_Ba3FeAs
_cell_length_a 5.5911
_cell_length_b 5.5911
_cell_length_c 5.5911
_cell_angle_alpha 90.00
_cell_angle_beta 90.00
_cell_angle_gamma 90.00
_symmetry_space_group_name_H-M 'P m -3 m'
_symmetry_Int_Tables_number 221
_symmetry_space_group_name_Hall '-P 4 2 3'
loop_
_atom_site_label
_atom_site_fract_x
_atom_site_fract_y
_atom_site_fract_z
Ba1 0.0000 0.0000 0.5000
Fe1 0.0000 0.0000 0.0000
As1 0.5000 0.5000 0.5000
```

energy relative to the elements = 0.09 eV/atom